Entry from OQMD via LeMat-Bulk: an optimized crystal structure of HgH16C10Se2N4Cl2 (PBE).

a = 8.0903 Å, b = 9.0847 Å, c = 13.3440 Å
α = 71.66°, β = 73.34°, γ = 64.51°
With the nearest neighbours (Å) after each atom.
Positions (direct):
Hg1 0.2201 0.0229 0.3051  2 Cl 2.61-2.63, 2 Se 2.64-2.65
Hg2 0.7799 0.9771 0.6949  2 Cl 2.61-2.63, 2 Se 2.64-2.65
H1 0.0772 0.5379 0.1082  1 C 1.09
H2 0.1601 0.3188 0.6750  1 C 1.09
H3 0.1817 0.7099 0.6170  1 C 1.10
H4 0.2083 0.6571 0.2940  1 C 1.08
H5 0.2174 0.6875 0.4831  1 C 1.10
H6 0.2238 0.8267 0.0851  1 C 1.10
H7 0.2483 0.1813 0.8599  1 C 1.09
H8 0.2581 0.5664 0.8271  1 C 1.10
H9 0.3159 0.4589 0.9577  1 C 1.10
H10 0.3227 0.5099 0.5841  1 C 1.10
H11 0.3732 0.8920 0.9664  1 C 1.10
H12 0.3754 0.9154 0.0942  1 C 1.10
H13 0.3914 0.6281 0.8810  1 C 1.10
H14 0.4732 0.2736 0.4581  1 C 1.10
H15 0.4876 0.7642 0.6722  1 C 1.10
H16 0.4967 0.4335 0.3401  1 C 1.09
H17 0.5033 0.5665 0.6599  1 C 1.09
H18 0.5124 0.2358 0.3278  1 C 1.10
H19 0.5268 0.7264 0.5419  1 C 1.10
H20 0.6086 0.3719 0.1190  1 C 1.10
H21 0.6246 0.0846 0.9058  1 C 1.10
H22 0.6268 0.1080 0.0336  1 C 1.10
H23 0.6773 0.4901 0.4159  1 C 1.10
H24 0.6841 0.5411 0.0423  1 C 1.10
H25 0.7419 0.4336 0.1729  1 C 1.10
H26 0.7517 0.8187 0.1401  1 C 1.09
H27 0.7762 0.1733 0.9149  1 C 1.10
H28 0.7826 0.3125 0.5169  1 C 1.10
H29 0.7917 0.3429 0.7060  1 C 1.08
H30 0.8183 0.2901 0.3830  1 C 1.10
H31 0.8399 0.6812 0.3250  1 C 1.09
H32 0.9228 0.4621 0.8918  1 C 1.09
C1 0.0083 0.8524 0.9019  2 N 1.36
C2 0.0185 0.6582 0.0552  1 H 1.09
C3 0.0349 0.4228 0.6528  1 H 1.09
C4 0.1341 0.3145 0.4201  2 N 1.35-1.36
C5 0.1381 0.2035 0.9292  1 H 1.09
C6 0.1446 0.5650 0.3315  1 H 1.08
C7 0.2004 0.6244 0.5682  3 H 1.10
C8 0.2794 0.5803 0.9007  3 H 1.10
C9 0.2873 0.9199 0.0433  3 H 1.10
C10 0.4455 0.3314 0.3758  3 H 1.09-1.10
C11 0.5545 0.6686 0.6242  3 H 1.09-1.10
C12 0.7127 0.0801 0.9567  3 H 1.10
C13 0.7206 0.4197 0.0993  3 H 1.10
C14 0.7996 0.3756 0.4318  3 H 1.10
C15 0.8554 0.4350 0.6685  1 H 1.08
C16 0.8619 0.7965 0.0708  1 H 1.09
C17 0.8659 0.6855 0.5799  2 N 1.35-1.36
C18 0.9651 0.5772 0.3472  1 H 1.09
C19 0.9815 0.3418 0.9448  1 H 1.09
C20 0.9917 0.1476 0.0981  2 N 1.36
Se1 0.0694 0.9607 0.7589  1 C 1.88
Se2 0.2088 0.0870 0.4872  1 C 1.87
Se3 0.7912 0.9130 0.5128  1 C 1.87
Se4 0.9306 0.0393 0.2411  1 C 1.88
N1 0.0392 0.5782 0.5977  3 C 1.36-1.45
N2 0.1071 0.6946 0.9507  3 C 1.36-1.46
N3 0.1415 0.0847 0.0240  3 C 1.36-1.45
N4 0.2463 0.4027 0.3775  3 C 1.35-1.45
N5 0.7537 0.5973 0.6225  3 C 1.35-1.45
N6 0.8585 0.9153 0.9760  3 C 1.36-1.45
N7 0.8929 0.3054 0.0493  3 C 1.36-1.46
N8 0.9608 0.4218 0.4023  3 C 1.36-1.45
Cl1 0.3295 0.2487 0.1568  4 H 2.56-2.79, 1 Hg 2.63
Cl2 0.4995 0.7406 0.2889  6 H 2.50-2.79, 1 Hg 2.61
Cl3 0.5005 0.2594 0.7111  6 H 2.50-2.79, 1 Hg 2.61
Cl4 0.6705 0.7513 0.8432  4 H 2.56-2.79, 1 Hg 2.63

SG = P-1
electronic total energy = -390.18 eV per cell